[1]
VASP calculation (PBE) on CsFe2Se3 after structural relaxation.

a = 16.3387 Å, b = 3.6861 Å, c = 9.5147 Å
α = 90.00°, β = 90.00°, γ = 90.00°
With the nearest neighbours (Å) after each atom.
Sites, in units of the cell vectors:
Cs 0.2434 0.2500 0.0557  7 Se 3.55-3.65, 2 Cs 3.69
Cs 0.2566 0.7500 0.5557  7 Se 3.55-3.65, 2 Cs 3.69
Cs 0.7434 0.2500 0.4443  7 Se 3.55-3.65, 2 Cs 3.69
Cs 0.7566 0.7500 0.9443  7 Se 3.55-3.65, 2 Cs 3.69
Fe 0.0107 0.7500 0.0966  4 Se 2.34-2.48
Fe 0.0135 0.2500 0.3286  6 Se 2.44-2.46
Fe 0.4865 0.7500 0.8286  6 Se 2.44-2.46
Fe 0.4893 0.2500 0.5966  4 Se 2.34-2.48
Fe 0.5107 0.7500 0.4034  4 Se 2.34-2.48
Fe 0.5135 0.2500 0.1714  6 Se 2.44-2.46
Fe 0.9865 0.7500 0.6714  6 Se 2.44-2.46
Fe 0.9893 0.2500 0.9034  4 Se 2.34-2.48
Se 0.0662 0.2500 0.5691  3 Fe 2.44-2.46
Se 0.0845 0.7500 0.8682  4 Fe 2.43-2.48
Se 0.1086 0.7500 0.2755  3 Fe 2.34-2.46
Se 0.3914 0.2500 0.7755  3 Fe 2.34-2.46
Se 0.4155 0.2500 0.3682  4 Fe 2.43-2.48
Se 0.4338 0.7500 0.0691  3 Fe 2.44-2.46
Se 0.5662 0.2500 0.9309  3 Fe 2.44-2.46
Se 0.5845 0.7500 0.6318  4 Fe 2.43-2.48
Se 0.6086 0.7500 0.2245  3 Fe 2.34-2.46
Se 0.8914 0.2500 0.7245  3 Fe 2.34-2.46
Se 0.9155 0.2500 0.1318  4 Fe 2.43-2.48
Se 0.9338 0.7500 0.4309  3 Fe 2.44-2.46

Summary:
Space-group type ... Pnma
DFT total energy ... -5.12 eV/atom
ρ ... 5.6 Mg/m³

[2]
VASP calculation (PBE) on SmSnN after structural relaxation.

a = 7.4352 Å, b = 7.4352 Å, c = 3.5563 Å
α = 90.00°, β = 90.00°, γ = 120.00°
With the nearest neighbours (Å) after each atom.
Sites, in units of the cell vectors:
Sm 0.0000 0.4158 0.0000  5 N 2.86-3.09, 2 Sn 3.15
Sm 0.4158 0.0000 0.0000  5 N 2.86-3.09, 2 Sn 3.15
Sm 0.5842 0.5842 0.0000  5 N 2.86-3.09, 2 Sn 3.15
Sn 0.0000 0.7654 0.5000  2 N 2.49
Sn 0.2346 0.2346 0.5000  2 N 2.49
Sn 0.7654 0.0000 0.5000  2 N 2.49
N 0.0000 0.0000 0.0000  6 Sn 2.49
N 0.3333 0.6667 0.5000  6 Sm 2.86, 3 Sn 2.92
N 0.6667 0.3333 0.5000  6 Sm 2.86, 3 Sn 2.92

Summary:
Space-group type ... P-62m
DFT total energy ... -5.67 eV/atom
ρ ... 8.3 Mg/m³

[3]
VASP calculation (PBE) on Zn4Au9 after structural relaxation.

a = 7.5731 Å, b = 7.5731 Å, c = 7.5731 Å
α = 94.36°, β = 94.36°, γ = 148.01°
With the nearest neighbours (Å) after each atom.
Sites, in units of the cell vectors:
Zn 0.1307 0.2346 0.3653  10 Au 2.72-2.99
Zn 0.2346 0.8693 0.1039  10 Au 2.72-2.99
Zn 0.7654 0.1307 0.8961  10 Au 2.72-2.99
Zn 0.8693 0.7654 0.6347  10 Au 2.72-2.99
Au 0.0000 0.0000 0.0000  4 Zn 2.76, 8 Au 2.95
Au 0.0932 0.6161 0.7093  4 Zn 2.74-2.99, 8 Au 2.90-3.07
Au 0.3106 0.4277 0.7383  5 Zn 2.72-2.99, 7 Au 2.90-2.96
Au 0.3839 0.0932 0.4770  4 Zn 2.74-2.99, 8 Au 2.90-3.07
Au 0.4277 0.6894 0.1171  5 Zn 2.72-2.99, 7 Au 2.90-2.96
Au 0.5723 0.3106 0.8829  5 Zn 2.72-2.99, 7 Au 2.90-2.96
Au 0.6161 0.9068 0.5230  4 Zn 2.74-2.99, 8 Au 2.90-3.07
Au 0.6894 0.5723 0.2617  5 Zn 2.72-2.99, 7 Au 2.90-2.96
Au 0.9068 0.3839 0.2907  4 Zn 2.74-2.99, 8 Au 2.90-3.07

Summary:
Formation energy from the elements ... -157 meV per atom
Space-group type ... I4/m
DFT total energy ... -2.81 eV/atom
ρ ... 15.3 Mg/m³

[4]
VASP calculation (PBE) on NdHoZn2Ge2 after structural relaxation.

a = 4.2690 Å, b = 4.2690 Å, c = 15.9985 Å
α = 90.00°, β = 90.00°, γ = 120.00°
With the nearest neighbours (Å) after each atom.
Sites, in units of the cell vectors:
Nd 0.0000 0.0000 0.0000  6 Ge 3.11, 6 Zn 3.46
Nd 0.0000 0.0000 0.5000  6 Ge 3.11, 6 Zn 3.46
Ho 0.0000 0.0000 0.2500  6 Zn 2.93, 6 Ge 3.24
Ho 0.0000 0.0000 0.7500  6 Zn 2.93, 6 Ge 3.24
Zn 0.3333 0.6667 0.1514  3 Ge 2.52
Zn 0.3333 0.6667 0.3486  3 Ge 2.52
Zn 0.6667 0.3333 0.6514  3 Ge 2.52
Zn 0.6667 0.3333 0.8486  3 Ge 2.52
Ge 0.3333 0.6667 0.6183  3 Zn 2.52
Ge 0.3333 0.6667 0.8817  3 Zn 2.52
Ge 0.6667 0.3333 0.1183  3 Zn 2.52
Ge 0.6667 0.3333 0.3817  3 Zn 2.52

Summary:
Relative energy among the computed polymorphs ... 0.0 kJ/mol of formula units
Space-group type ... P6_3/mmc
DFT total energy ... -4.20 eV/atom
ρ ... 7.7 Mg/m³

[5]
VASP calculation (PBE) on PrScTlNi2 after structural relaxation.

a = 3.6244 Å, b = 7.5258 Å, c = 7.5258 Å
α = 29.91°, β = 90.00°, γ = 90.00°
With the nearest neighbours (Å) after each atom.
Sites, in units of the cell vectors:
Pr 0.0000 0.0000 0.0000  6 Ni 2.86-3.04
Sc 0.0000 0.7199 0.7199  6 Ni 2.76-2.81
Tl 0.5000 0.3533 0.3533  1 Ni 2.69
Ni 0.5000 0.1682 0.1682  2 Ni 2.39
Ni 0.5000 0.5720 0.5720  2 Ni 2.39

Summary:
Space-group type ... Amm2
DFT total energy ... -5.30 eV/atom
ρ ... 8.2 Mg/m³

[6]
VASP calculation (PBE) on BaAg3Pd2 after structural relaxation.

a = 5.6840 Å, b = 5.6840 Å, c = 4.5470 Å
α = 90.00°, β = 90.00°, γ = 120.00°
With the nearest neighbours (Å) after each atom.
Sites, in units of the cell vectors:
Ba 0.0000 0.0000 0.0000  6 Pd 3.28, 12 Ag 3.64
Ag 0.0000 0.5000 0.5000  4 Pd 2.80, 4 Ag 2.84
Ag 0.5000 0.0000 0.5000  4 Pd 2.80, 4 Ag 2.84
Ag 0.5000 0.5000 0.5000  4 Pd 2.80, 4 Ag 2.84
Pd 0.3333 0.6667 0.0000  6 Ag 2.80
Pd 0.6667 0.3333 0.0000  6 Ag 2.80

Summary:
Space-group type ... P6/mmm
DFT total energy ... -3.76 eV/atom
ρ ... 8.8 Mg/m³